This record from Alexandria via LeMat-Bulk describes crystalline LaTlGaF2 at its relaxed geometry. The functional is PBE.

Values from the calculation:
Uncorrected formation energy = -5.745 eV/f.u.

```
LaTlGaF2
1.0
4.956 0.000 0.000
0.000 5.394 0.000
0.000 0.000 4.956
Ga La F Tl
1 1 2 1
Direct
0.000 0.500 0.000 Ga
0.500 0.500 0.500 La
0.000 0.000 0.500 F
0.500 0.000 0.000 F
0.000 0.000 0.000 Tl
```

=====

This record from Alexandria via LeMat-Bulk describes crystalline LiGa2F at its relaxed geometry. The functional is PBE.

Values from the calculation:
Uncorrected formation energy = -3.388 eV/f.u.

```
LiGa2F
1.0
10.079 0.000 0.000
0.000 10.079 0.000
5.039 5.039 1.658
F Ga Li
2 4 2
Direct
0.000 0.000 0.000 F
0.750 0.250 0.500 F
0.375 0.240 0.750 Ga
0.990 0.625 0.250 Ga
0.760 0.125 0.250 Ga
0.875 0.010 0.750 Ga
0.250 0.750 0.500 Li
0.500 0.500 0.000 Li
```

=====

This record from Alexandria via LeMat-Bulk describes crystalline LiGaF5 at its relaxed geometry. The functional is PBE.

Values from the calculation:
Uncorrected formation energy = -15.765 eV/f.u.

```
LiGaF5
1.0
5.252 -0.052 0.075
1.617 4.997 0.075
2.558 1.842 6.807
F Ga Li
10 2 2
Direct
0.690 0.278 0.949 F
0.278 0.690 0.449 F
0.215 0.277 0.873 F
0.095 0.905 0.750 F
0.722 0.310 0.551 F
0.723 0.785 0.627 F
0.277 0.215 0.373 F
0.785 0.723 0.127 F
0.905 0.095 0.250 F
0.310 0.722 0.051 F
0.000 0.000 0.000 Ga
0.000 0.000 0.500 Ga
0.483 0.517 0.750 Li
0.517 0.483 0.250 Li
```

=====

This record from Alexandria via LeMat-Bulk describes crystalline LiGaF2 at its relaxed geometry. The functional is PBE.

Values from the calculation:
Uncorrected formation energy = -7.796 eV/f.u.

```
LiGaF2
1.0
2.747 0.000 0.000
0.000 2.747 0.000
0.000 0.000 6.188
F Li Ga
2 1 1
Direct
0.000 0.000 0.798 F
0.000 0.000 0.202 F
0.500 0.500 0.000 Li
0.500 0.500 0.500 Ga
```

=====

This record from Alexandria via LeMat-Bulk describes crystalline LiGaF2 at its relaxed geometry. The functional is PBE.

Values from the calculation:
Uncorrected formation energy = -8.657 eV/f.u.

```
LiGaF2
1.0
5.268 0.000 0.000
0.000 5.268 0.000
2.634 2.634 4.352
F Ga Li
4 2 2
Direct
0.538 0.125 0.250 F
0.875 0.788 0.750 F
0.375 0.462 0.750 F
0.212 0.625 0.250 F
0.000 0.000 0.000 Ga
0.750 0.250 0.500 Ga
0.500 0.500 0.000 Li
0.250 0.750 0.500 Li
```

=====

This record from Alexandria via LeMat-Bulk describes crystalline Li3Ga5F12 at its relaxed geometry. The functional is PBE.

Values from the calculation:
Uncorrected formation energy = -44.795 eV/f.u.

```
Li3Ga5F12
1.0
11.487 0.000 0.000
-3.829 10.830 0.000
-3.829 -5.415 9.379
Li Ga F
12 20 48
Direct
0.625 0.375 0.750 Li
0.375 0.625 0.250 Li
0.875 0.125 0.250 Li
0.250 0.125 0.375 Li
0.750 0.375 0.125 Li
0.750 0.875 0.625 Li
0.875 0.750 0.125 Li
0.625 0.250 0.375 Li
0.125 0.875 0.750 Li
0.125 0.250 0.875 Li
0.375 0.750 0.625 Li
0.250 0.625 0.875 Li
0.000 0.500 0.000 Ga
0.000 0.000 0.500 Ga
0.250 0.375 0.625 Ga
0.875 0.625 0.750 Ga
0.625 0.875 0.250 Ga
0.000 0.000 0.000 Ga
0.625 0.750 0.875 Ga
0.500 0.500 0.500 Ga
0.750 0.125 0.875 Ga
0.500 0.500 0.000 Ga
0.875 0.250 0.625 Ga
0.375 0.250 0.125 Ga
0.125 0.375 0.250 Ga
0.000 0.500 0.500 Ga
0.375 0.125 0.750 Ga
0.500 0.000 0.500 Ga
0.125 0.750 0.375 Ga
0.750 0.625 0.375 Ga
0.500 0.000 0.000 Ga
0.250 0.875 0.125 Ga
0.083 0.697 0.545 F
0.083 0.386 0.038 F
0.545 0.197 0.083 F
0.045 0.462 0.848 F
0.303 0.386 0.848 F
0.583 0.045 0.197 F
0.417 0.955 0.803 F
0.955 0.417 0.303 F
0.848 0.962 0.045 F
0.886 0.848 0.803 F
0.583 0.538 0.886 F
0.955 0.538 0.152 F
0.614 0.917 0.462 F
0.348 0.803 0.386 F
0.038 0.886 0.083 F
0.848 0.886 0.303 F
0.697 0.083 0.045 F
0.386 0.083 0.538 F
0.652 0.197 0.614 F
0.455 0.652 0.038 F
0.114 0.152 0.197 F
0.697 0.614 0.152 F
0.348 0.545 0.462 F
0.652 0.455 0.538 F
0.197 0.652 0.114 F
0.417 0.462 0.114 F
0.962 0.848 0.545 F
0.538 0.955 0.652 F
0.962 0.114 0.917 F
0.455 0.803 0.917 F
0.386 0.303 0.348 F
0.917 0.614 0.962 F
0.197 0.545 0.583 F
0.462 0.045 0.348 F
0.038 0.152 0.455 F
0.614 0.697 0.652 F
0.538 0.583 0.386 F
0.886 0.038 0.583 F
0.114 0.962 0.417 F
0.303 0.917 0.955 F
0.917 0.303 0.455 F
0.462 0.417 0.614 F
0.045 0.583 0.697 F
0.152 0.038 0.955 F
0.803 0.455 0.417 F
0.152 0.114 0.697 F
0.803 0.348 0.886 F
0.545 0.348 0.962 F
```

=====

This record from Alexandria via LeMat-Bulk describes crystalline LiGaF2 at its relaxed geometry. The functional is PBE.

Values from the calculation:
Uncorrected formation energy = -7.842 eV/f.u.

```
LiGaF2
1.0
2.113 0.000 6.504
-1.056 1.830 6.504
-1.056 -1.830 6.504
F Li Ga
2 1 1
Direct
0.912 0.912 0.912 F
0.088 0.088 0.088 F
0.000 0.000 0.000 Li
0.500 0.500 0.500 Ga
```

=====

This record from Alexandria via LeMat-Bulk describes crystalline LiGa2F8 at its relaxed geometry. The functional is PBE.

Values from the calculation:
Uncorrected formation energy = -25.704 eV/f.u.

```
LiGa2F8
1.0
5.023 -0.448 -0.340
-0.726 5.503 0.404
-0.726 1.870 5.191
F Ga Li
8 2 1
Direct
0.283 0.370 0.927 F
0.717 0.073 0.630 F
0.227 0.865 0.865 F
0.283 0.927 0.370 F
0.717 0.630 0.073 F
0.652 0.593 0.593 F
0.348 0.407 0.407 F
0.773 0.135 0.135 F
0.447 0.742 0.742 Ga
0.553 0.258 0.258 Ga
0.000 0.000 0.000 Li
```